(1)
VASP calculation (PBE) on a geometry-optimized RbGeBi structure.

Results
Energy of formation ... -64 meV/atom
Mass density ... 5.35 g/cm³
Space group ... No. 2
Energy ... -3.22 eV per atom

Cell: 4.296 6.546 8.718 Å, 79.23 90.25 71.36°
Sites, in units of the cell vectors:
Bi (0.345, 0.341, 0.412)
Bi (0.626, 0.761, 0.999)
Ge (0.879, 0.268, 0.217)
Ge (0.092, 0.835, 0.193)
Rb (0.091, 0.834, 0.589)
Rb (0.878, 0.268, 0.822)

***

(2)
VASP calculation (PBE) on a geometry-optimized SrRhCl structure.

Results
Raw formation energy ... -1.15 eV/atom
Mass density ... 5.09 g/cm³
Relative energy among the computed polymorphs ... 44 meV per atom
Space group ... No. 42
Energy ... -4.78 eV per atom

Cell: 3.755 10.785 3.755 Å, 79.96 90.01 100.04°
Each line ends with the local moment (μB).
Sites, in units of the cell vectors:
Sr (0.105, 0.199, 0.986)  -0.01
Sr (0.347, 0.684, 0.743)  -0.01
Cl (0.542, 0.074, 0.549)  0.00
Cl (0.910, 0.810, 0.181)  0.00
Rh (0.224, 0.442, 0.363)  0.41
Rh (0.725, 0.442, 0.862)  0.41

***

(3)
VASP calculation (PBE) on a geometry-optimized Pm5Pr4Dy structure.

Results
Energy of formation ... 172 meV/atom
Mass density ... 6.92 g/cm³
Relative energy among the computed polymorphs ... 158 meV per atom
Space group ... No. 129
Energy ... -4.57 eV per atom

Cell: 5.872 10.888 10.886 Å, 90.00 90.00 90.00°
Sites, in units of the cell vectors:
Pm (0.835, 0.662, 0.662)
Pm (0.835, 0.338, 0.662)
Pm (0.000, 0.500, 0.000)
Pm (0.835, 0.662, 0.338)
Pm (0.165, 0.838, 0.838)
Pm (0.835, 0.338, 0.338)
Pm (0.000, 0.000, 0.500)
Pm (0.165, 0.162, 0.838)
Pm (0.165, 0.838, 0.162)
Pm (0.165, 0.162, 0.162)
Pr (0.632, 0.294, 0.000)
Pr (0.632, 0.706, 0.000)
Pr (0.632, 0.000, 0.294)
Pr (0.368, 0.206, 0.500)
Pr (0.368, 0.500, 0.794)
Pr (0.632, 0.000, 0.706)
Pr (0.368, 0.500, 0.206)
Pr (0.368, 0.794, 0.500)
Dy (0.364, 0.500, 0.500)
Dy (0.636, 0.000, 0.000)

***

(4)
VASP calculation (PBE) on a geometry-optimized MgBPd5 structure.

Results
Energy of formation ... -297 meV/atom
Mass density ... 9.30 g/cm³
Relative energy among the computed polymorphs ... 0 meV per atom
Space group ... No. 123
Energy ... -5.19 eV per atom

Cell: 3.853 3.853 6.827 Å, 90.00 90.00 90.00°
Sites, in units of the cell vectors:
Pd (0.500, 0.500, 0.500)
Pd (0.000, 0.500, 0.807)
Pd (0.000, 0.500, 0.193)
Pd (0.500, 0.000, 0.193)
Pd (0.500, 0.000, 0.807)
Mg (0.000, 0.000, 0.500)
B (0.500, 0.500, 0.000)

***

(5)
VASP calculation (PBE) on a geometry-optimized Ac3Al2Pd9 structure.

Results
Energy of formation ... -786 meV/atom
Mass density ... 9.68 g/cm³
Relative energy among the computed polymorphs ... 0 meV per atom
Space group ... No. 164
Energy ... -5.54 eV per atom

Cell: 6.698 6.698 7.473 Å, 90.00 90.00 120.00°
Sites, in units of the cell vectors:
Ac (0.000, 0.000, 0.000)
Ac (0.667, 0.333, 0.665)
Ac (0.333, 0.667, 0.335)
Pd (0.142, 0.284, 0.653)
Pd (0.858, 0.142, 0.347)
Pd (0.284, 0.142, 0.347)
Pd (0.716, 0.858, 0.653)
Pd (0.000, 0.500, 0.000)
Pd (0.858, 0.716, 0.347)
Pd (0.500, 0.000, 0.000)
Pd (0.500, 0.500, 0.000)
Pd (0.142, 0.858, 0.653)
Al (0.667, 0.333, 0.211)
Al (0.333, 0.667, 0.789)

***

(6)
VASP calculation (PBE) on a geometry-optimized YEr12In3 structure.

Results
Energy of formation ... -186 meV/atom
Mass density ... 8.88 g/cm³
Space group ... No. 123
Energy ... -4.53 eV per atom

Cell: 4.824 4.824 19.618 Å, 90.00 90.00 90.00°
Sites, in units of the cell vectors:
Er (0.000, 0.500, 0.869)
Er (0.000, 0.500, 0.622)
Er (0.500, 0.500, 0.000)
Er (0.500, 0.000, 0.131)
Er (0.500, 0.500, 0.255)
Er (0.500, 0.000, 0.622)
Er (0.500, 0.500, 0.500)
Er (0.500, 0.000, 0.378)
Er (0.000, 0.500, 0.131)
Er (0.000, 0.500, 0.378)
Er (0.500, 0.000, 0.869)
Er (0.500, 0.500, 0.745)
In (0.000, 0.000, 0.256)
In (0.000, 0.000, 0.744)
In (0.000, 0.000, 0.500)
Y (0.000, 0.000, 0.000)

***

(7)
VASP calculation (PBE) on a geometry-optimized CaDyAlTl structure.

Results
Energy of formation ... -294 meV/atom
Mass density ... 6.81 g/cm³
Space group ... No. 216
Energy ... -3.47 eV per atom

Cell: 5.308 5.308 5.308 Å, 60.00 60.00 60.00°
Sites, in units of the cell vectors:
Ca (0.000, 0.000, 0.000)
Al (0.250, 0.250, 0.250)
Dy (0.500, 0.500, 0.500)
Tl (0.750, 0.750, 0.750)

***

(8)
VASP calculation (PBE) on a geometry-optimized CoNi2Se structure.

Results
Raw formation energy ... 0.18 eV/atom
Mass density ... 8.43 g/cm³
Space group ... No. 38
Energy ... -5.35 eV per atom

Cell: 3.639 2.900 4.985 Å, 73.03 90.00 90.00°
Each line ends with the local moment (μB).
Sites, in units of the cell vectors:
Co (0.500, 0.556, 0.763)  1.11
Se (0.000, 0.701, 0.473)  -0.01
Ni (0.000, 0.942, 0.990)  0.26
Ni (0.500, 0.301, 0.275)  0.15

***

Q: Look up the mass density of the sixth one.
A: 8.88 g/cm³

***

Q: What is the mass density in the seventh record?
A: 6.81 g/cm³